Entry 1:
DFT (PBE-GGA) results for a geometry-optimized SiTe2Pb structure.

abc: 6.2337 8.6618 5.3987
angles: 90.00 124.59 90.00
With the nearest neighbours (Å) after each atom.
Space group C2/m (No. 12)
Symmetry-distinct sites (fractional):
Si: 0.0000 0.0000 0.0000 (multiplicity 2)  4 Te 3.10, 2 Pb 3.12
Te: 0.2500 0.2500 0.5000 (multiplicity 4)  2 Pb 3.10, 2 Si 3.10, 2 Te 3.12
Pb: 0.0000 0.5000 0.0000 (multiplicity 2)  4 Te 3.10, 2 Si 3.12

## Properties
M_tot = 0.0 μB per cell
energy relative to the elements, uncorrected = 0.20 eV per atom
theoretical density = 6.79 g cm⁻³
E_tot = -3.66 eV/atom
relative energy among the computed polymorphs = 254 meV per atom

***

Entry 2:
DFT (PBE-GGA) results for a geometry-optimized SiTe3Pb structure.

abc: 5.3483 5.3483 5.3483
angles: 90.00 90.00 90.00
With the nearest neighbours (Å) after each atom.
Space group Pm-3m (No. 221)
Symmetry-distinct sites (fractional):
Si: 0.0000 0.0000 0.0000 (multiplicity 1)  6 Te 2.67
Te: 0.0000 0.0000 0.5000 (multiplicity 3)  2 Si 2.67
Pb: 0.5000 0.5000 0.5000 (multiplicity 1)  12 Te 3.78

## Properties
M_tot = 0.0 μB per cell
energy relative to the elements, uncorrected = 0.19 eV per atom
theoretical density = 6.71 g cm⁻³
E_tot = -3.52 eV/atom

***

Entry 3:
DFT (PBE-GGA) results for a geometry-optimized SiTe2Pb structure.

abc: 4.2019 4.2019 25.3669
angles: 90.00 90.00 120.00
With the nearest neighbours (Å) after each atom.
Space group R3m (No. 160, hexagonal axes)
Symmetry-distinct sites (fractional):
Si: 0.0000 0.0000 0.0000 (multiplicity 3)  3 Te 2.77
Te: 0.0000 0.0000 0.5149 (multiplicity 3)  3 Pb 3.00
Te: 0.0000 0.0000 0.7190 (multiplicity 3)  3 Si 2.77
Pb: 0.0000 0.0000 0.2509 (multiplicity 3)  3 Te 3.00, 3 Si 3.20

## Properties
M_tot = 0.0 μB per cell
energy relative to the elements, uncorrected = 0.00 eV per atom
theoretical density = 6.30 g cm⁻³
E_tot = -3.86 eV/atom
relative energy among the computed polymorphs = 54 meV per atom

***

Please write out number 2 again, unchanged.
DFT (PBE-GGA) results for a geometry-optimized SiTe3Pb structure.

abc: 5.3483 5.3483 5.3483
angles: 90.00 90.00 90.00
With the nearest neighbours (Å) after each atom.
Space group Pm-3m (No. 221)
Symmetry-distinct sites (fractional):
Si: 0.0000 0.0000 0.0000 (multiplicity 1)  6 Te 2.67
Te: 0.0000 0.0000 0.5000 (multiplicity 3)  2 Si 2.67
Pb: 0.5000 0.5000 0.5000 (multiplicity 1)  12 Te 3.78

## Properties
M_tot = 0.0 μB per cell
energy relative to the elements, uncorrected = 0.19 eV per atom
theoretical density = 6.71 g cm⁻³
E_tot = -3.52 eV/atom